No. 1
An optimized crystal structure of TbSmCu, computed with PBE.

Unit cell a=3.6228 b=3.6228 c=7.0846 alpha=90.00 beta=90.00 gamma=120.00
Last column: nearest neighbours and their distance in Å.
Fractional coordinates of all 3 atoms:
Tb  0.0000  0.0000  0.0000  3 Cu 2.89
Sm  0.6667  0.3333  0.4238  3 Cu 2.96
Cu  0.3333  0.6667  0.7188  3 Tb 2.89, 3 Sm 2.96

* total moment: 0.0 μB/f.u.
* space group: P3m1, No. 156
* uncorrected energy: -4.436 eV/atom
* DOS at the Fermi energy: 2.7 states/eV/cell
* energy relative to the elements: 0.05 eV per atom


No. 2
An optimized crystal structure of Tb3Sm4Cu4, computed with PBE.

Unit cell a=8.8577 b=8.8577 c=8.8577 alpha=147.90 beta=130.85 gamma=59.92
Last column: nearest neighbours and their distance in Å.
Fractional coordinates of all 11 atoms:
Tb  0.0000  0.0000  0.0000  2 Cu 3.04
Tb  0.3982  0.8982  0.5000  1 Tb 3.12, 4 Cu 3.15, 4 Sm 3.37
Tb  0.6018  0.1018  0.5000  1 Tb 3.12, 4 Cu 3.15, 4 Sm 3.37
Sm  0.0496  0.3286  0.7210  4 Cu 2.76-2.97
Sm  0.3924  0.6714  0.7210  4 Cu 2.76-2.97
Sm  0.6076  0.3286  0.2790  4 Cu 2.76-2.97
Sm  0.9504  0.6714  0.2790  4 Cu 2.76-2.97
Cu  0.1983  0.1983  0.0000  6 Sm 2.87-2.97, 1 Tb 3.04
Cu  0.3343  0.5000  0.8343  1 Cu 2.44
Cu  0.6657  0.5000  0.1657  1 Cu 2.44
Cu  0.8017  0.8017  0.0000  6 Sm 2.87-2.97, 1 Tb 3.04

* total moment: 0.0 μB/f.u.
* space group: Immm, No. 71
* uncorrected energy: -4.516 eV/atom
* DOS at the Fermi energy: 9.1 states/eV/cell
* energy relative to the elements: -0.05 eV per atom


No. 3
An optimized crystal structure of TbSmCuTc, computed with PBE.

Unit cell a=4.9288 b=4.9288 c=4.9288 alpha=60.00 beta=60.00 gamma=60.00
Last column: nearest neighbours and their distance in Å.
Fractional coordinates of all 4 atoms:
Tb  0.0000  0.0000  0.0000  4 Tc 3.02, 4 Cu 3.02
Sm  0.5000  0.5000  0.5000  4 Tc 3.02, 4 Cu 3.02
Cu  0.2500  0.2500  0.2500  4 Tb 3.02, 4 Sm 3.02
Tc  0.7500  0.7500  0.7500  4 Tb 3.02, 4 Sm 3.02

* total moment: 0.0 μB/f.u.
* space group: F-43m, No. 216
* uncorrected energy: -5.985 eV/atom
* DOS at the Fermi energy: 4.0 states/eV/cell
* energy relative to the elements: -0.03 eV per atom


No. 4
An optimized crystal structure of Tb2SmCuTe5, computed with PBE.

Unit cell a=9.7895 b=9.7895 c=12.9217 alpha=90.00 beta=90.00 gamma=154.92
Last column: nearest neighbours and their distance in Å.
Fractional coordinates of all 18 atoms:
Tb  0.1076  0.8924  0.5000  8 Te 3.18-3.45
Tb  0.1214  0.8786  0.1222  7 Te 3.14-3.46
Tb  0.8786  0.1214  0.6222  7 Te 3.14-3.46
Tb  0.8924  0.1076  0.0000  8 Te 3.18-3.45
Sm  0.1900  0.8100  0.8267  6 Te 2.98-3.19, 2 Cu 3.20
Sm  0.8100  0.1900  0.3267  6 Te 2.98-3.19, 2 Cu 3.20
Cu  0.4303  0.5697  0.2762  4 Te 2.61-2.66
Cu  0.5697  0.4303  0.7762  4 Te 2.61-2.66
Te  0.0390  0.9610  0.8839  2 Cu 2.61
Te  0.2881  0.7119  0.4978  2 Sm 3.10, 3 Tb 3.18-3.45
Te  0.3186  0.6814  0.1535  1 Cu 2.66
Te  0.3569  0.6431  0.8163  1 Sm 3.19, 4 Tb 3.26-3.31
Te  0.4991  0.5009  0.6034  1 Cu 2.61
Te  0.5009  0.4991  0.1034  1 Cu 2.61
Te  0.6431  0.3569  0.3163  1 Sm 3.19, 4 Tb 3.26-3.31
Te  0.6814  0.3186  0.6535  1 Cu 2.66
Te  0.7119  0.2881  0.9978  2 Sm 3.10, 3 Tb 3.18-3.45
Te  0.9610  0.0390  0.3839  2 Cu 2.61

* total moment: 0.0 μB/f.u.
* uncorrected formation energy: -1.132 eV/atom
* space group: Cmc2_1, No. 36
* uncorrected energy: -4.886 eV/atom
* DOS at the Fermi energy: 0.8 states/eV/cell


No. 5
An optimized crystal structure of TbSmTlCu, computed with PBE.

Unit cell a=5.2443 b=5.2443 c=5.2443 alpha=60.00 beta=60.00 gamma=60.00
Last column: nearest neighbours and their distance in Å.
Fractional coordinates of all 4 atoms:
Tb  0.0000  0.0000  0.0000  4 Tl 3.21, 4 Cu 3.21
Sm  0.5000  0.5000  0.5000  4 Tl 3.21, 4 Cu 3.21
Tl  0.7500  0.7500  0.7500  4 Tb 3.21, 4 Sm 3.21
Cu  0.2500  0.2500  0.2500  4 Tb 3.21, 4 Sm 3.21

* total moment: 0.2 μB/f.u.
* space group: F-43m, No. 216
* uncorrected energy: -4.183 eV/atom
* DOS at the Fermi energy: 3.8 states/eV/cell
* energy relative to the elements: -0.23 eV per atom


No. 6
An optimized crystal structure of TbSmTmCu, computed with PBE.

Unit cell a=3.4960 b=3.4960 c=8.6690 alpha=90.00 beta=90.00 gamma=90.00
Last column: nearest neighbours and their distance in Å.
Fractional coordinates of all 4 atoms:
Tb  0.0000  0.0000  0.0000  4 Cu 3.03, 1 Tm 3.36
Sm  0.5000  0.5000  0.3089  4 Sm 3.50, 4 Tm 3.61, 4 Tb 3.64
Tm  0.0000  0.0000  0.6122  4 Cu 2.95
Cu  0.5000  0.5000  0.7974  4 Tm 2.95, 4 Tb 3.03

* total moment: 0.0 μB/f.u.
* space group: P4mm, No. 99
* uncorrected energy: -4.585 eV/atom
* DOS at the Fermi energy: 4.3 states/eV/cell
* energy relative to the elements: -0.11 eV per atom


> What is the total moment in the second record?

0.0 μB/f.u.


> What is the DOS at the Fermi energy in the sixth record?

4.3 states/eV/cell